No. 1
## Mg5Pt (PBE-GGA)

Data for Mg5Pt after structural relaxation.

Unit cell a=6.6772 b=6.6772 c=4.3272 alpha=90.00 beta=90.00 gamma=142.65
Closest atoms and distances in Å follow each position.
Element x y z (fractional)
Mg 0.0000 0.0000 0.0000  8 Mg 2.90-2.92, 4 Pt 3.04
Mg 0.1525 0.8475 0.5000  2 Pt 2.88, 6 Mg 2.90-3.04
Mg 0.3424 0.6576 0.0000  10 Mg 2.92-3.23, 2 Pt 2.94
Mg 0.6576 0.3424 0.0000  10 Mg 2.92-3.23, 2 Pt 2.94
Mg 0.8475 0.1525 0.5000  2 Pt 2.88, 6 Mg 2.90-3.04
Pt 0.5000 0.5000 0.5000  12 Mg 2.88-3.04

Results
raw total energy	-2.662	eV/atom
crystal system	orthorhombic
formation enthalpy at 0 K	-326	meV/atom



No. 2
## Mg5Pt (PBE-GGA)

Data for Mg5Pt after structural relaxation.

Unit cell a=5.5749 b=5.5749 c=7.1809 alpha=109.25 beta=109.25 gamma=35.10
Closest atoms and distances in Å follow each position.
Element x y z (fractional)
Mg 0.0000 0.0000 0.0000  2 Pt 2.80, 6 Mg 3.06-3.13
Mg 0.0174 0.0174 0.4418  2 Pt 2.72, 4 Mg 2.99-3.00
Mg 0.3070 0.3070 0.1529  2 Pt 2.72, 4 Mg 2.99-3.00
Mg 0.3257 0.3257 0.5963  2 Pt 2.80, 6 Mg 3.08-3.13
Mg 0.6623 0.6623 0.7971  8 Mg 3.00-3.11
Pt 0.6629 0.6629 0.2985  8 Mg 2.72-2.80

Results
raw total energy	-2.655	eV/atom
crystal system	monoclinic
formation enthalpy at 0 K	-319	meV/atom



No. 3
## MgPt (PBE-GGA)

Data for MgPt after structural relaxation.

Unit cell a=4.4577 b=4.4577 c=8.2377 alpha=90.00 beta=90.00 gamma=120.00
Closest atoms and distances in Å follow each position.
Element x y z (fractional)
Mg 0.0000 0.0000 0.0000  6 Pt 2.67
Mg 0.0000 0.0000 0.5000  6 Pt 2.67
Mg 0.3333 0.6667 0.2500  8 Pt 2.78-2.90
Mg 0.6667 0.3333 0.7500  8 Pt 2.78-2.90
Pt 0.3333 0.6667 0.5871  7 Mg 2.67-2.90, 4 Pt 2.68-2.95
Pt 0.3333 0.6667 0.9129  7 Mg 2.67-2.90, 4 Pt 2.68-2.95
Pt 0.6667 0.3333 0.0871  7 Mg 2.67-2.90, 4 Pt 2.68-2.95
Pt 0.6667 0.3333 0.4129  7 Mg 2.67-2.90, 4 Pt 2.68-2.95

Results
raw total energy	-4.531	eV/atom
crystal system	hexagonal
formation enthalpy at 0 K	-713	meV/atom



No. 4
## MgPt2 (PBE-GGA)

Data for MgPt2 after structural relaxation.

Unit cell a=12.3186 b=12.3186 c=12.3186 alpha=166.79 beta=166.79 gamma=18.73
Closest atoms and distances in Å follow each position.
Element x y z (fractional)
Mg 0.3750 0.6250 0.7500  8 Pt 2.73, 4 Mg 2.83
Mg 0.6250 0.3750 0.2500  8 Pt 2.73, 4 Mg 2.83
Pt 0.0487 0.7987 0.2500  4 Mg 2.73, 6 Pt 2.76-2.83
Pt 0.2013 0.9513 0.2500  4 Mg 2.73, 6 Pt 2.76-2.83
Pt 0.7987 0.0487 0.7500  4 Mg 2.73, 6 Pt 2.76-2.83
Pt 0.9513 0.2013 0.7500  4 Mg 2.73, 6 Pt 2.76-2.83

Results
raw total energy	-5.029	eV/atom
crystal system	tetragonal
formation enthalpy at 0 K	-470	meV/atom



No. 5
## Mg2Pt13 (PBE-GGA)

Data for Mg2Pt13 after structural relaxation.

Unit cell a=7.7650 b=7.7650 c=7.7650 alpha=55.55 beta=55.55 gamma=55.55
Closest atoms and distances in Å follow each position.
Element x y z (fractional)
Mg 0.2451 0.2451 0.2451  6 Pt 2.61-2.90
Mg 0.7549 0.7549 0.7549  6 Pt 2.61-2.90
Pt 0.0000 0.0000 0.0000  12 Pt 2.65-2.77
Pt 0.0193 0.0193 0.6375  6 Pt 2.51-2.76, 1 Mg 2.61
Pt 0.0193 0.6375 0.0193  6 Pt 2.51-2.76, 1 Mg 2.61
Pt 0.2509 0.2509 0.6114  5 Pt 2.61-2.77, 1 Mg 2.90
Pt 0.2509 0.6114 0.2509  5 Pt 2.61-2.77, 1 Mg 2.90
Pt 0.3625 0.9807 0.9807  6 Pt 2.51-2.76, 1 Mg 2.61
Pt 0.3886 0.7491 0.7491  5 Pt 2.61-2.77, 1 Mg 2.90
Pt 0.6114 0.2509 0.2509  5 Pt 2.61-2.77, 1 Mg 2.90
Pt 0.6375 0.0193 0.0193  6 Pt 2.51-2.76, 1 Mg 2.61
Pt 0.7491 0.3886 0.7491  5 Pt 2.61-2.77, 1 Mg 2.90
Pt 0.7491 0.7491 0.3886  5 Pt 2.61-2.77, 1 Mg 2.90
Pt 0.9807 0.3625 0.9807  6 Pt 2.51-2.76, 1 Mg 2.61
Pt 0.9807 0.9807 0.3625  6 Pt 2.51-2.76, 1 Mg 2.61

Results
raw total energy	-5.256	eV/atom
crystal system	trigonal
formation enthalpy at 0 K	192	meV/atom



No. 6
## Mg2Pt3 (PBE-GGA)

Data for Mg2Pt3 after structural relaxation.

Unit cell a=4.2926 b=4.2926 c=5.3396 alpha=90.00 beta=90.00 gamma=120.00
Closest atoms and distances in Å follow each position.
Element x y z (fractional)
Mg 0.3333 0.6667 0.3264  8 Pt 2.60-2.74
Mg 0.6667 0.3333 0.6736  8 Pt 2.60-2.74
Pt 0.0000 0.0000 0.5000  6 Mg 2.65
Pt 0.3333 0.6667 0.8403  5 Mg 2.60-2.74
Pt 0.6667 0.3333 0.1597  5 Mg 2.60-2.74

Results
raw total energy	-4.740	eV/atom
crystal system	trigonal
energy above the most stable polymorph in this dataset	0.928	eV/f.u.
formation enthalpy at 0 K	-478	meV/atom



No. 7
## MgPt6 (PBE-GGA)

Data for MgPt6 after structural relaxation.

Unit cell a=6.0892 b=6.0892 c=6.0892 alpha=109.47 beta=109.47 gamma=109.47
Closest atoms and distances in Å follow each position.
Element x y z (fractional)
Mg 0.0000 0.0000 0.0000  24 Pt 3.93
Pt 0.2500 0.5000 0.7500  4 Pt 2.49
Pt 0.2500 0.7500 0.5000  4 Pt 2.49
Pt 0.5000 0.2500 0.7500  4 Pt 2.49
Pt 0.5000 0.7500 0.2500  4 Pt 2.49
Pt 0.7500 0.2500 0.5000  4 Pt 2.49
Pt 0.7500 0.5000 0.2500  4 Pt 2.49

Results
raw total energy	-4.739	eV/atom
crystal system	cubic
formation enthalpy at 0 K	667	meV/atom



No. 8
## MgPt (PBE-GGA)

Data for MgPt after structural relaxation.

Unit cell a=2.9995 b=2.9995 c=4.2167 alpha=90.00 beta=90.00 gamma=120.00
Closest atoms and distances in Å follow each position.
Element x y z (fractional)
Mg 0.0000 0.0000 0.0000  6 Pt 2.73, 6 Mg 3.00
Pt 0.3333 0.6667 0.5000  6 Mg 2.73, 6 Pt 3.00

Results
raw total energy	-4.427	eV/atom
crystal system	hexagonal
formation enthalpy at 0 K	-610	meV/atom



No. 9
## Mg2Pt (PBE-GGA)

Data for Mg2Pt after structural relaxation.

Unit cell a=4.4357 b=4.4357 c=4.4357 alpha=60.00 beta=60.00 gamma=60.00
Closest atoms and distances in Å follow each position.
Element x y z (fractional)
Mg 0.2500 0.2500 0.2500  4 Pt 2.72
Mg 0.7500 0.7500 0.7500  4 Pt 2.72
Pt 0.0000 0.0000 0.0000  8 Mg 2.72

Results
raw total energy	-3.718	eV/atom
crystal system	cubic
formation enthalpy at 0 K	-642	meV/atom



No. 10
## Mg2Pt (PBE-GGA)

Data for Mg2Pt after structural relaxation.

Unit cell a=12.8989 b=12.8989 c=12.8989 alpha=166.60 beta=166.60 gamma=18.99
Closest atoms and distances in Å follow each position.
Element x y z (fractional)
Mg 0.3070 0.5570 0.7500  4 Pt 2.74, 4 Mg 3.01
Mg 0.4430 0.6930 0.7500  4 Pt 2.74, 4 Mg 3.01
Mg 0.5570 0.3070 0.2500  4 Pt 2.74, 4 Mg 3.01
Mg 0.6930 0.4430 0.2500  4 Pt 2.74, 4 Mg 3.01
Pt 0.1250 0.8750 0.2500  8 Mg 2.74, 4 Pt 3.01
Pt 0.8750 0.1250 0.7500  8 Mg 2.74, 4 Pt 3.01

Results
raw total energy	-3.625	eV/atom
crystal system	tetragonal
formation enthalpy at 0 K	-549	meV/atom



No. 11
## Mg5Pt (PBE-GGA)

Data for Mg5Pt after structural relaxation.

Unit cell a=9.2264 b=4.0519 c=7.0437 alpha=90.00 beta=90.00 gamma=90.00
Closest atoms and distances in Å follow each position.
Element x y z (fractional)
Mg 0.0000 0.0000 0.0000  2 Pt 2.67
Mg 0.0762 0.5000 0.3128  2 Pt 2.72, 1 Mg 2.99
Mg 0.2500 0.0000 0.5812  1 Pt 2.74
Mg 0.2500 0.5000 0.9260  2 Pt 2.76
Mg 0.4238 0.5000 0.3128  2 Pt 2.72, 1 Mg 2.99
Mg 0.5000 0.0000 0.0000  2 Pt 2.67
Mg 0.5762 0.5000 0.6872  2 Pt 2.72, 1 Mg 2.99
Mg 0.7500 0.0000 0.4188  1 Pt 2.74
Mg 0.7500 0.5000 0.0740  2 Pt 2.76
Mg 0.9238 0.5000 0.6872  2 Pt 2.72, 1 Mg 2.99
Pt 0.2500 0.0000 0.1921  9 Mg 2.67-2.76
Pt 0.7500 0.0000 0.8079  9 Mg 2.67-2.76

Results
raw total energy	-2.673	eV/atom
crystal system	orthorhombic
formation enthalpy at 0 K	-338	meV/atom



No. 12
## MgPt3 (PBE-GGA)

Data for MgPt3 after structural relaxation.

Unit cell a=5.5737 b=5.5737 c=4.6827 alpha=90.00 beta=90.00 gamma=119.93
Closest atoms and distances in Å follow each position.
Element x y z (fractional)
Mg 0.0920 0.9080 0.7500  10 Pt 2.73-2.84, 2 Mg 2.94
Mg 0.9080 0.0920 0.2500  10 Pt 2.73-2.84, 2 Mg 2.94
Pt 0.0899 0.4164 0.7500  4 Mg 2.73-2.84, 8 Pt 2.75-2.88
Pt 0.4146 0.5854 0.2500  10 Pt 2.77-2.86, 2 Mg 2.79
Pt 0.4164 0.0899 0.2500  4 Mg 2.73-2.84, 8 Pt 2.75-2.88
Pt 0.5836 0.9101 0.7500  4 Mg 2.73-2.84, 8 Pt 2.75-2.88
Pt 0.5854 0.4146 0.7500  10 Pt 2.77-2.86, 2 Mg 2.79
Pt 0.9101 0.5836 0.2500  4 Mg 2.73-2.84, 8 Pt 2.75-2.88

Results
raw total energy	-5.429	eV/atom
crystal system	orthorhombic
formation enthalpy at 0 K	-500	meV/atom



No. 13
## MgPt (PBE-GGA)

Data for MgPt after structural relaxation.

Unit cell a=5.2606 b=5.2606 c=5.3209 alpha=90.00 beta=90.00 gamma=90.00
Closest atoms and distances in Å follow each position.
Element x y z (fractional)
Mg 0.1977 0.1977 0.0000  6 Pt 2.65-2.74, 1 Mg 2.94
Mg 0.3023 0.6977 0.5000  6 Pt 2.65-2.74, 1 Mg 2.94
Mg 0.6977 0.3023 0.5000  6 Pt 2.65-2.74, 1 Mg 2.94
Mg 0.8023 0.8023 0.0000  6 Pt 2.65-2.74, 1 Mg 2.94
Pt 0.1895 0.1895 0.5000  6 Mg 2.65-2.74, 1 Pt 2.82
Pt 0.3105 0.6895 0.0000  6 Mg 2.65-2.74, 1 Pt 2.82
Pt 0.6895 0.3105 0.0000  6 Mg 2.65-2.74, 1 Pt 2.82
Pt 0.8105 0.8105 0.5000  6 Mg 2.65-2.74, 1 Pt 2.82

Results
raw total energy	-4.214	eV/atom
crystal system	tetragonal
formation enthalpy at 0 K	-396	meV/atom



No. 14
## MgPt2 (PBE-GGA)

Data for MgPt2 after structural relaxation.

Unit cell a=4.2137 b=4.2137 c=4.2137 alpha=60.00 beta=60.00 gamma=60.00
Closest atoms and distances in Å follow each position.
Element x y z (fractional)
Mg 0.0000 0.0000 0.0000  8 Pt 2.58
Pt 0.2500 0.2500 0.2500  4 Mg 2.58
Pt 0.7500 0.7500 0.7500  4 Mg 2.58

Results
raw total energy	-4.794	eV/atom
crystal system	cubic
formation enthalpy at 0 K	-235	meV/atom



No. 15
## Mg3Pt (PBE-GGA)

Data for Mg3Pt after structural relaxation.

Unit cell a=3.0938 b=3.0938 c=9.3699 alpha=90.00 beta=90.00 gamma=120.00
Closest atoms and distances in Å follow each position.
Element x y z (fractional)
Mg 0.0000 0.0000 0.0000  12 Mg 3.09-3.19
Mg 0.6667 0.3333 0.2820  3 Pt 2.71
Mg 0.6667 0.3333 0.7180  3 Pt 2.71
Pt 0.0000 0.0000 0.5000  6 Mg 2.71

Results
raw total energy	-3.017	eV/atom
crystal system	hexagonal
formation enthalpy at 0 K	-311	meV/atom



No. 16
## Mg2Pt (PBE-GGA)

Data for Mg2Pt after structural relaxation.

Unit cell a=5.0134 b=5.0134 c=7.4841 alpha=90.00 beta=90.00 gamma=145.11
Closest atoms and distances in Å follow each position.
Element x y z (fractional)
Mg 0.0715 0.9285 0.5000  4 Pt 2.76-2.78, 7 Mg 2.84-3.01
Mg 0.3350 0.6650 0.3260  4 Pt 2.75-2.88, 7 Mg 2.84-3.01
Mg 0.6650 0.3350 0.8260  4 Pt 2.75-2.88, 7 Mg 2.84-3.01
Mg 0.9285 0.0715 0.0000  4 Pt 2.76-2.78, 7 Mg 2.84-3.01
Pt 0.3822 0.6178 0.6927  8 Mg 2.75-2.88, 2 Pt 3.01
Pt 0.6178 0.3822 0.1927  8 Mg 2.75-2.88, 2 Pt 3.01

Results
raw total energy	-3.662	eV/atom
crystal system	orthorhombic
formation enthalpy at 0 K	-585	meV/atom



No. 17
## Mg4Pt5 (PBE-GGA)

Data for Mg4Pt5 after structural relaxation.

Unit cell a=6.4021 b=6.4021 c=6.4021 alpha=95.78 beta=95.78 gamma=142.99
Closest atoms and distances in Å follow each position.
Element x y z (fractional)
Mg 0.0000 0.3022 0.3022  7 Pt 2.59-2.86
Mg 0.0000 0.6978 0.6978  7 Pt 2.59-2.86
Mg 0.3022 0.0000 0.3022  7 Pt 2.59-2.86
Mg 0.6978 0.0000 0.6978  7 Pt 2.59-2.86
Pt 0.0000 0.0000 0.0000  4 Mg 2.59, 8 Pt 2.88
Pt 0.3316 0.3316 0.6632  6 Mg 2.75-2.86, 6 Pt 2.84-2.89
Pt 0.3316 0.6684 0.0000  6 Mg 2.75-2.86, 6 Pt 2.84-2.89
Pt 0.6684 0.3316 0.0000  6 Mg 2.75-2.86, 6 Pt 2.84-2.89
Pt 0.6684 0.6684 0.3368  6 Mg 2.75-2.86, 6 Pt 2.84-2.89

Results
raw total energy	-4.736	eV/atom
crystal system	tetragonal
energy above the most stable polymorph in this dataset	0.000	eV/f.u.
formation enthalpy at 0 K	-671	meV/atom



No. 18
## Mg5Pt (PBE-GGA)

Data for Mg5Pt after structural relaxation.

Unit cell a=3.3716 b=3.3716 c=10.6547 alpha=90.00 beta=90.00 gamma=90.00
Closest atoms and distances in Å follow each position.
Element x y z (fractional)
Mg 0.0000 0.0000 0.0000  12 Mg 3.11-3.37
Mg 0.0000 0.0000 0.3688  4 Pt 2.76, 5 Mg 2.80-3.07
Mg 0.0000 0.0000 0.6312  4 Pt 2.76, 5 Mg 2.80-3.07
Mg 0.5000 0.5000 0.1875  12 Mg 3.07-3.37, 1 Pt 3.33
Mg 0.5000 0.5000 0.8125  12 Mg 3.07-3.37, 1 Pt 3.33
Pt 0.5000 0.5000 0.5000  8 Mg 2.76

Results
raw total energy	-2.636	eV/atom
crystal system	tetragonal
formation enthalpy at 0 K	-300	meV/atom



No. 19
## MgPt3 (PBE-GGA)

Data for MgPt3 after structural relaxation.

Unit cell a=2.8272 b=2.8272 c=9.0942 alpha=90.00 beta=90.00 gamma=120.00
Closest atoms and distances in Å follow each position.
Element x y z (fractional)
Mg 0.0000 0.0000 0.0000  6 Pt 2.69, 6 Mg 2.83
Pt 0.0000 0.0000 0.5000  12 Pt 2.83-2.91
Pt 0.3333 0.6667 0.2357  3 Mg 2.69, 9 Pt 2.83-2.91
Pt 0.3333 0.6667 0.7643  3 Mg 2.69, 9 Pt 2.83-2.91

Results
raw total energy	-5.261	eV/atom
crystal system	hexagonal
formation enthalpy at 0 K	-332	meV/atom



No. 20
## MgPt3 (PBE-GGA)

Data for MgPt3 after structural relaxation.

Unit cell a=3.9617 b=3.9617 c=3.9617 alpha=90.00 beta=90.00 gamma=90.00
Closest atoms and distances in Å follow each position.
Element x y z (fractional)
Mg 0.0000 0.0000 0.0000  12 Pt 2.80
Pt 0.0000 0.5000 0.5000  4 Mg 2.80, 8 Pt 2.80
Pt 0.5000 0.0000 0.5000  4 Mg 2.80, 8 Pt 2.80
Pt 0.5000 0.5000 0.0000  4 Mg 2.80, 8 Pt 2.80

Results
raw total energy	-5.529	eV/atom
crystal system	cubic
formation enthalpy at 0 K	-600	meV/atom



Short version: volume = 19.506, 20.067, 17.720, 16.276, 19.789, 17.042, 24.829, 16.427, 20.571, 19.209, 21.944, 15.759, 18.406, 17.634, 19.418, 17.934, 16.644, 20.187, 15.738, 15.544 Å³ per atom, in the order given.